# 1
This record from Alexandria describes crystalline AlCoP4 at its relaxed geometry. The functional is GGA-PBE.

Cell lengths 4.9679, 4.9679, 4.9679 Å; angles 60.00, 60.00, 60.00 degrees
Each line ends with the local moment (μB).
Element x y z (fractional)
Al 0.7500 0.7500 0.7500  -0.01
P 0.3750 0.8751 0.3750  0.01
P 0.8751 0.3750 0.3750  0.01
P 0.3750 0.3750 0.8751  0.01
P 0.3750 0.3750 0.3750  0.01
Co 0.0000 0.0000 0.0000  1.49

Results
- Fermi-level density of states: 0.87 states/eV/atom
- ΔH_f (0 K): 0.6887 eV per atom
- Total energy: -4.726 eV/atom
- Crystal system: cubic

***

# 2
This record from Alexandria describes crystalline AlCoP2 at its relaxed geometry. The functional is GGA-PBE.

Cell lengths 3.6521, 3.6521, 4.8219 Å; angles 89.99, 89.99, 59.99 degrees
Element x y z (fractional)
Co 0.3750 0.3750 0.0000
Al 0.3750 0.3750 0.5000
P 0.7083 0.7083 0.7984
P 0.0417 0.0417 0.2016

Results
- Fermi-level density of states: 0.29 states/eV/atom
- ΔH_f (0 K): -0.4076 eV per atom
- Total energy: -5.825 eV/atom
- Crystal system: trigonal

***

# 3
This record from Alexandria describes crystalline Al2CoP at its relaxed geometry. The functional is GGA-PBE.

Cell lengths 2.7166, 2.7167, 7.4203 Å; angles 90.00, 90.00, 90.00 degrees
Element x y z (fractional)
Al 0.0000 0.0000 0.4568
Al 0.0000 0.0000 0.0432
Co 0.5000 0.5000 0.2500
P 0.5000 0.5000 0.7500

Results
- Fermi-level density of states: 0.26 states/eV/atom
- ΔH_f (0 K): -0.1617 eV per atom
- Total energy: -5.162 eV/atom
- Crystal system: tetragonal

***

# 4
This record from Alexandria describes crystalline AlCoP2 at its relaxed geometry. The functional is GGA-PBE.

Cell lengths 3.3829, 3.3815, 4.9243 Å; angles 90.00, 90.00, 90.00 degrees
Each line ends with the local moment (μB).
Element x y z (fractional)
Co 0.5000 0.5000 0.8574  0.25
Al 0.0000 0.0000 0.4170  0.00
P 0.5000 0.5000 0.3244  0.01
P 0.0000 0.0000 0.9012  0.01

Results
- Fermi-level density of states: 0.98 states/eV/atom
- ΔH_f (0 K): -0.0940 eV per atom
- Total energy: -5.511 eV/atom
- Crystal system: tetragonal

***

# 5
This record from Alexandria describes crystalline Al4CoP at its relaxed geometry. The functional is GGA-PBE.

Cell lengths 5.1084, 5.1084, 5.1084 Å; angles 60.00, 60.00, 60.00 degrees
Each line ends with the local moment (μB).
Element x y z (fractional)
Al 0.3756 0.8732 0.3756  0.00
Al 0.3756 0.3756 0.8732  0.00
Al 0.3756 0.3756 0.3756  0.00
Al 0.8732 0.3756 0.3756  0.00
Co 0.7500 0.7500 0.7500  1.31
P 0.0000 0.0000 0.0000  0.01

Results
- Fermi-level density of states: 0.56 states/eV/atom
- ΔH_f (0 K): 0.4119 eV per atom
- Total energy: -4.169 eV/atom
- Crystal system: cubic

***

# 6
This record from Alexandria describes crystalline Al2CoP at its relaxed geometry. The functional is GGA-PBE.

Cell lengths 4.0156, 4.0156, 3.2780 Å; angles 90.00, 90.00, 90.00 degrees
Element x y z (fractional)
P 0.0000 0.5000 0.5000
Al 0.0000 0.0000 0.0000
Al 0.5000 0.5000 0.0000
Co 0.5000 0.0000 0.5000

Results
- Fermi-level density of states: 0.42 states/eV/atom
- ΔH_f (0 K): -0.1129 eV per atom
- Total energy: -5.113 eV/atom
- Crystal system: tetragonal